Material: MgTa2Tl
Method: DFT, GGA-PBE
State: optimized geometry

Values from the calculation:
Crystal system = tetragonal
E_form = 0.5077 eV/atom
Space-group type = P4/mmm, No. 123

Unit cell a=2.9248 b=2.9248 c=9.2968 alpha=90.00 beta=90.00 gamma=90.00
Closest atoms and distances in Å follow each position.
Atoms (fractional coordinates):
Mg: 0.5000 0.5000 0.7500  4 Mg 2.92, 8 Ta 3.10
Ta: 0.0000 0.0000 0.5016  4 Ta 2.92, 4 Mg 3.10, 4 Tl 3.12
Ta: 0.0000 0.0000 0.9984  4 Ta 2.92, 4 Mg 3.10, 4 Tl 3.12
Tl: 0.5000 0.5000 0.2500  4 Tl 2.92, 8 Ta 3.12


Material: MgTa2Tl
Method: DFT, GGA-PBE
State: optimized geometry

Values from the calculation:
Crystal system = monoclinic
E_form = 0.4028 eV/atom
Space-group type = P2/m, No. 10

Unit cell a=4.8199 b=2.9116 c=5.8145 alpha=73.86 beta=90.00 gamma=90.00
Closest atoms and distances in Å follow each position.
Atoms (fractional coordinates):
Ta: 0.0000 0.4945 0.5097  4 Ta 2.76-2.97, 2 Mg 2.98, 2 Tl 3.03
Ta: 0.0000 0.0055 0.9903  4 Ta 2.76-2.97, 2 Mg 2.98, 2 Tl 3.03
Tl: 0.5000 0.2500 0.2500  2 Mg 2.87, 2 Tl 2.91, 4 Ta 3.03
Mg: 0.5000 0.7500 0.7500  2 Tl 2.87, 2 Mg 2.91, 4 Ta 2.98


Material: MgTa2Tl2
Method: DFT, GGA-PBE
State: optimized geometry

Values from the calculation:
Crystal system = tetragonal
E_form = 0.6549 eV/atom
Space-group type = P4/mbm, No. 127
Energy above the most stable polymorph in this dataset = 0 meV/atom

Unit cell a=7.8190 b=7.8190 c=3.6832 alpha=90.00 beta=90.00 gamma=90.00
Closest atoms and distances in Å follow each position.
Atoms (fractional coordinates):
Ta: 0.8821 0.6179 0.0000  1 Ta 2.61, 2 Tl 2.89
Ta: 0.3821 0.8821 0.0000  1 Ta 2.61, 2 Tl 2.89
Tl: 0.6804 0.8196 0.5000  6 Ta 2.89-3.01
Mg: 0.5000 0.5000 0.0000  4 Ta 3.13, 8 Tl 3.41
Ta: 0.1179 0.3821 0.0000  1 Ta 2.61, 2 Tl 2.89
Mg: 0.0000 0.0000 0.0000  4 Ta 3.13, 8 Tl 3.41
Tl: 0.3196 0.1804 0.5000  6 Ta 2.89-3.01
Tl: 0.1804 0.6804 0.5000  6 Ta 2.89-3.01
Ta: 0.6179 0.1179 0.0000  1 Ta 2.61, 2 Tl 2.89
Tl: 0.8196 0.3196 0.5000  6 Ta 2.89-3.01


Which value of E_form does entry 2 give? 0.4028 eV/atom


Repeat the second record exactly.
Material: MgTa2Tl
Method: DFT, GGA-PBE
State: optimized geometry

Values from the calculation:
Crystal system = monoclinic
E_form = 0.4028 eV/atom
Space-group type = P2/m, No. 10

Unit cell a=4.8199 b=2.9116 c=5.8145 alpha=73.86 beta=90.00 gamma=90.00
Closest atoms and distances in Å follow each position.
Atoms (fractional coordinates):
Ta: 0.0000 0.4945 0.5097  4 Ta 2.76-2.97, 2 Mg 2.98, 2 Tl 3.03
Ta: 0.0000 0.0055 0.9903  4 Ta 2.76-2.97, 2 Mg 2.98, 2 Tl 3.03
Tl: 0.5000 0.2500 0.2500  2 Mg 2.87, 2 Tl 2.91, 4 Ta 3.03
Mg: 0.5000 0.7500 0.7500  2 Tl 2.87, 2 Mg 2.91, 4 Ta 2.98


Which value of E_form does entry 3 give? 0.6549 eV/atom


Among the records above, which one has the highest E_form? MgTa2Tl2